# 1
Density functional theory data (GGA-PBEsol) for a relaxed La2ScSi crystal.

Lattice parameters (Å, degrees): 7.259 7.259 7.259 90.00 90.00 90.00
Space group F-43m (No. 216)
Unique sites:
La (0.000, 0.000, 0.000)
La (0.250, 0.250, 0.250)
Sc (0.250, 0.250, 0.750)
Si (0.000, 0.000, 0.500)

As for the crystal system: cubic. The total magnetization is 0.65 μB per formula unit. The calculation puts the final energy at -5.8637 eV per atom.

***

# 2
Density functional theory data (GGA-PBEsol) for a relaxed LaScSi2 crystal.

Lattice parameters (Å, degrees): 3.803 4.238 10.706 90.00 90.00 90.00
Space group Amm2 (No. 38)
Unique sites:
La (0.000, 0.000, 0.000)
Sc (0.500, 0.000, 0.275)
Si (0.000, 0.000, 0.723)
Si (0.500, 0.000, 0.580)

As for the crystal system: orthorhombic. The total magnetization is 0.00 μB per formula unit. The calculation puts the final energy at -6.5949 eV per atom.

***

# 3
Density functional theory data (GGA-PBEsol) for a relaxed SrLaSc2 crystal.

Lattice parameters (Å, degrees): 3.816 3.816 8.906 90.00 90.00 90.00
Space group P4mm (No. 99)
Unique sites:
Sr (0.000, 0.000, 0.000)
La (0.500, 0.500, 0.329)
Sc (0.000, 0.000, 0.551)
Sc (0.500, 0.500, 0.721)

As for the crystal system: tetragonal. The total magnetization is 0.00 μB per formula unit. The calculation puts the final energy at -4.9343 eV per atom.

***

# 4
Density functional theory data (GGA-PBEsol) for a relaxed SrLa3Sc crystal.

Lattice parameters (Å, degrees): 5.824 5.824 5.824 90.00 90.00 90.00
Space group Pm-3m (No. 221)
Unique sites:
Sr (0.000, 0.000, 0.000)
La (0.000, 0.500, 0.500)
Sc (0.500, 0.500, 0.500)

As for the crystal system: cubic. The total magnetization is 0.50 μB per formula unit. The calculation puts the final energy at -4.4696 eV per atom.

***

# 5
Density functional theory data (GGA-PBEsol) for a relaxed SrLaSc2 crystal.

Lattice parameters (Å, degrees): 3.471 5.416 6.944 90.00 104.34 90.00
Space group Pm (No. 6)
Unique sites:
Sr (0.000, 0.000, 0.000)
La (0.669, 0.500, 0.332)
Sc (0.267, 0.000, 0.529)
Sc (0.378, 0.500, 0.755)

As for the crystal system: monoclinic. The total magnetization is 0.06 μB per formula unit. The calculation puts the final energy at -4.8727 eV per atom.

***

# 6
Density functional theory data (GGA-PBEsol) for a relaxed SrLaSc2 crystal.

Lattice parameters (Å, degrees): 7.926 7.926 7.926 90.00 90.00 90.00
Space group F-43m (No. 216)
Unique sites:
Sr (0.000, 0.000, 0.000)
La (0.250, 0.250, 0.250)
Sc (0.000, 0.000, 0.500)
Sc (0.250, 0.250, 0.750)

As for the crystal system: cubic. The total magnetization is 0.00 μB per formula unit. The calculation puts the final energy at -4.7878 eV per atom.

***

# 7
Density functional theory data (GGA-PBEsol) for a relaxed LaSc3Ta crystal.

Lattice parameters (Å, degrees): 5.170 5.170 5.170 90.00 90.00 90.00
Space group Pm-3m (No. 221)
Unique sites:
La (0.000, 0.000, 0.000)
Sc (0.000, 0.500, 0.500)
Ta (0.500, 0.500, 0.500)

As for the crystal system: cubic. The total magnetization is 0.00 μB per formula unit. The calculation puts the final energy at -7.0440 eV per atom.

***

# 8
Density functional theory data (GGA-PBEsol) for a relaxed LaSc2Tc crystal.

Lattice parameters (Å, degrees): 4.181 4.181 4.864 90.00 90.00 90.00
Space group P4/mmm (No. 123)
Unique sites:
La (0.000, 0.000, 0.000)
Sc (0.000, 0.500, 0.500)
Tc (0.500, 0.500, 0.000)

As for the crystal system: tetragonal. The total magnetization is 0.00 μB per formula unit. The calculation puts the final energy at -7.2520 eV per atom.

***

# 9
Density functional theory data (GGA-PBEsol) for a relaxed LaSc2Tc crystal.

Lattice parameters (Å, degrees): 4.595 4.605 8.657 90.00 90.00 90.00
Space group Cmmm (No. 65)
Unique sites:
La (0.000, 0.000, 0.000)
Sc (0.000, 0.500, 0.326)
Tc (0.000, 0.000, 0.500)

As for the crystal system: orthorhombic. The total magnetization is 0.00 μB per formula unit. The calculation puts the final energy at -7.5216 eV per atom.

***

# 10
Density functional theory data (GGA-PBEsol) for a relaxed LaScTc2 crystal.

Lattice parameters (Å, degrees): 3.148 4.118 6.034 90.00 90.00 90.00
Space group Pmm2 (No. 25)
Unique sites:
La (0.000, 0.000, 0.000)
Sc (0.500, 0.500, 0.358)
Tc (0.000, 0.000, 0.580)
Tc (0.500, 0.500, 0.745)

As for the crystal system: orthorhombic. The total magnetization is 0.00 μB per formula unit. The calculation puts the final energy at -8.3471 eV per atom.

***

# 11
Density functional theory data (GGA-PBEsol) for a relaxed La2ScTe crystal.

Lattice parameters (Å, degrees): 4.686 4.686 10.195 90.00 90.00 90.00
Space group I4/mmm (No. 139)
Unique sites:
La (0.000, 0.500, 0.250)
Sc (0.000, 0.000, 0.000)
Te (0.000, 0.000, 0.500)

As for the crystal system: tetragonal. The total magnetization is 0.00 μB per formula unit. The calculation puts the final energy at -5.6640 eV per atom.

***

# 12
Density functional theory data (GGA-PBEsol) for a relaxed LaScTe2 crystal.

Lattice parameters (Å, degrees): 4.2573 4.2573 21.5819 90.00 90.00 120.00
Space group R-3m (No. 166, hexagonal axes)
Unique sites:
La (0.0000, 0.0000, 0.0000)
Sc (0.0000, 0.0000, 0.5000)
Te (0.0000, 0.0000, 0.2396)

As for the crystal system: trigonal. The total magnetization is 0.00 μB per formula unit. The calculation puts the final energy at -6.1206 eV per atom.

***

# 13
Density functional theory data (GGA-PBEsol) for a relaxed La2ScTe crystal.

Lattice parameters (Å, degrees): 3.8231 3.8231 29.0883 90.00 90.00 120.00
Space group R3m (No. 160, hexagonal axes)
Unique sites:
La (0.0000, 0.0000, 0.0000)
La (0.0000, 0.0000, 0.2341)
Sc (0.0000, 0.0000, 0.4748)
Te (0.0000, 0.0000, 0.7454)

As for the crystal system: trigonal. The total magnetization is 0.00 μB per formula unit. The calculation puts the final energy at -5.7204 eV per atom.

***

# 14
Density functional theory data (GGA-PBEsol) for a relaxed LaScTe2 crystal.

Lattice parameters (Å, degrees): 7.491 7.491 7.491 90.00 90.00 90.00
Space group Fm-3m (No. 225)
Unique sites:
La (0.000, 0.000, 0.000)
Sc (0.000, 0.000, 0.500)
Te (0.250, 0.250, 0.250)

As for the crystal system: cubic. The total magnetization is 1.11 μB per formula unit. The calculation puts the final energy at -5.9503 eV per atom.

***

# 15
Density functional theory data (GGA-PBEsol) for a relaxed LaScZnTe2 crystal.

Lattice parameters (Å, degrees): 5.421 5.421 5.499 90.00 90.00 90.00
Space group P4/mmm (No. 123)
Unique sites:
La (0.000, 0.000, 0.000)
Sc (0.000, 0.000, 0.500)
Zn (0.500, 0.500, 0.000)
Te (0.000, 0.500, 0.500)

As for the crystal system: tetragonal. The total magnetization is 0.00 μB per formula unit. The calculation puts the final energy at -4.1710 eV per atom.

***

# 16
Density functional theory data (GGA-PBEsol) for a relaxed LaSc2Tl crystal.

Lattice parameters (Å, degrees): 4.572 4.572 9.561 90.00 90.00 90.00
Space group I-4m2 (No. 119)
Unique sites:
La (0.000, 0.000, 0.000)
Sc (0.000, 0.000, 0.500)
Sc (0.000, 0.500, 0.250)
Tl (0.000, 0.500, 0.750)

As for the crystal system: tetragonal. The total magnetization is 0.00 μB per formula unit. The calculation puts the final energy at -5.4667 eV per atom.

***

# 17
Density functional theory data (GGA-PBEsol) for a relaxed La2ScTl crystal.

Lattice parameters (Å, degrees): 3.587 3.587 8.716 90.00 90.00 90.00
Space group P4mm (No. 99)
Unique sites:
La (0.000, 0.000, 0.000)
La (0.500, 0.500, 0.292)
Sc (0.000, 0.000, 0.545)
Tl (0.500, 0.500, 0.738)

As for the crystal system: tetragonal. The total magnetization is 0.00 μB per formula unit. The calculation puts the final energy at -5.1749 eV per atom.

***

# 18
Density functional theory data (GGA-PBEsol) for a relaxed La2ScTl crystal.

Lattice parameters (Å, degrees): 5.621 5.621 3.688 90.00 90.00 90.00
Space group P4/mmm (No. 123)
Unique sites:
La (0.000, 0.500, 0.000)
Sc (0.000, 0.000, 0.500)
Tl (0.500, 0.500, 0.500)

As for the crystal system: tetragonal. The total magnetization is 0.00 μB per formula unit. The calculation puts the final energy at -5.1410 eV per atom.

***

# 19
Density functional theory data (GGA-PBEsol) for a relaxed La2ScTl crystal.

Lattice parameters (Å, degrees): 11.903 3.584 5.775 90.00 113.56 90.00
Space group Cm (No. 8)
Unique sites:
La (0.000, 0.000, 0.000)
La (0.220, 0.000, 0.825)
Sc (0.260, 0.500, 0.360)
Tl (0.478, 0.000, 0.461)

As for the crystal system: monoclinic. The total magnetization is 0.00 μB per formula unit. The calculation puts the final energy at -5.1916 eV per atom.

***

# 20
Density functional theory data (GGA-PBEsol) for a relaxed LaSc2Tl crystal.

Lattice parameters (Å, degrees): 3.660 5.132 10.768 90.00 90.00 90.00
Space group Imm2 (No. 44)
Unique sites:
La (0.000, 0.000, 0.000)
Sc (0.000, 0.000, 0.516)
Sc (0.000, 0.500, 0.760)
Tl (0.000, 0.500, 0.242)

As for the crystal system: orthorhombic. The total magnetization is 0.00 μB per formula unit. The calculation puts the final energy at -5.4262 eV per atom.